(1)
VASP calculation (PBE-GGA) on a relaxed structure of LaMg2Ag2.

abc: 7.173 7.173 7.173
angles: 144.97 144.97 50.37
Atoms (fractional coordinates):
La 0.000 0.000 0.000
Mg 0.250 0.750 0.500
Mg 0.750 0.250 0.500
Ag 0.392 0.392 0.000
Ag 0.608 0.608 0.000

Calculated values
SG ... I4/mmm (139)
Energy above the most stable polymorph in this dataset ... 0.00 eV per formula unit
E_tot ... -3.01 eV per atom
Crystal system ... tetragonal
Formation enthalpy at 0 K ... -0.245 eV per atom



(2)
VASP calculation (PBE-GGA) on a relaxed structure of La5Mg4Ag.

abc: 3.950 3.950 19.496
angles: 90.00 90.00 90.00
Atoms (fractional coordinates):
La 0.000 0.000 0.000
La 0.000 0.000 0.204
La 0.000 0.000 0.406
La 0.000 0.000 0.594
La 0.000 0.000 0.796
Mg 0.500 0.500 0.102
Mg 0.500 0.500 0.303
Mg 0.500 0.500 0.697
Mg 0.500 0.500 0.898
Ag 0.500 0.500 0.500

Calculated values
SG ... P4/mmm (123)
E_tot ... -3.53 eV per atom
Crystal system ... tetragonal
Formation enthalpy at 0 K ... -0.144 eV per atom



(3)
VASP calculation (PBE-GGA) on a relaxed structure of LaMg2Ag.

abc: 6.600 6.600 3.198
angles: 102.17 102.17 123.39
Atoms (fractional coordinates):
La 0.000 0.000 0.000
Mg 0.000 0.500 0.500
Mg 0.500 0.000 0.500
Ag 0.500 0.500 0.000

Calculated values
SG ... C2/m (12)
E_tot ... -2.71 eV per atom
Crystal system ... monoclinic
Formation enthalpy at 0 K ... 0.031 eV per atom



(4)
VASP calculation (PBE-GGA) on a relaxed structure of La4MgAg5.

abc: 3.681 3.681 19.269
angles: 90.00 90.00 90.00
Atoms (fractional coordinates):
La 0.000 0.000 0.105
La 0.000 0.000 0.314
La 0.000 0.000 0.686
La 0.000 0.000 0.895
Mg 0.000 0.000 0.500
Ag 0.500 0.500 0.000
Ag 0.500 0.500 0.209
Ag 0.500 0.500 0.422
Ag 0.500 0.500 0.578
Ag 0.500 0.500 0.791

Calculated values
SG ... P4/mmm (123)
E_tot ... -3.79 eV per atom
Crystal system ... tetragonal
Formation enthalpy at 0 K ... -0.231 eV per atom



(5)
VASP calculation (PBE-GGA) on a relaxed structure of La2MgAg2.

abc: 9.761 9.761 9.761
angles: 156.81 156.81 33.03
Atoms (fractional coordinates):
La 0.110 0.110 0.000
La 0.890 0.890 0.000
Mg 0.500 0.500 0.000
Ag 0.250 0.750 0.500
Ag 0.750 0.250 0.500

Calculated values
SG ... I4/mmm (139)
Energy above the most stable polymorph in this dataset ... 1.22 eV per formula unit
E_tot ... -3.44 eV per atom
Crystal system ... tetragonal
Formation enthalpy at 0 K ... -0.014 eV per atom



(6)
VASP calculation (PBE-GGA) on a relaxed structure of LaMg8Ag4.

abc: 7.577 7.577 7.577
angles: 98.06 98.06 136.02
Atoms (fractional coordinates):
La 0.000 0.000 0.000
Mg 0.000 0.345 0.345
Mg 0.000 0.655 0.655
Mg 0.284 0.500 0.784
Mg 0.345 0.000 0.345
Mg 0.500 0.284 0.784
Mg 0.500 0.716 0.216
Mg 0.655 0.000 0.655
Mg 0.716 0.500 0.216
Ag 0.000 0.000 0.500
Ag 0.000 0.500 0.000
Ag 0.500 0.000 0.000
Ag 0.500 0.500 0.500

Calculated values
SG ... I4/mmm (139)
E_tot ... -2.44 eV per atom
Crystal system ... tetragonal
Formation enthalpy at 0 K ... -0.203 eV per atom



(7)
VASP calculation (PBE-GGA) on a relaxed structure of La4MgAg2.

abc: 9.076 9.076 9.076
angles: 34.65 34.65 34.65
Atoms (fractional coordinates):
La 0.113 0.113 0.113
La 0.365 0.365 0.365
La 0.635 0.635 0.635
La 0.887 0.887 0.887
Mg 0.500 0.500 0.500
Ag 0.239 0.239 0.239
Ag 0.761 0.761 0.761

Calculated values
SG ... R-3m (166)
Energy above the most stable polymorph in this dataset ... 0.00 eV per formula unit
E_tot ... -3.94 eV per atom
Crystal system ... trigonal
Formation enthalpy at 0 K ... -0.078 eV per atom



(8)
VASP calculation (PBE-GGA) on a relaxed structure of La2MgAg2.

abc: 8.186 8.186 4.172
angles: 90.00 90.00 90.00
Atoms (fractional coordinates):
La 0.172 0.328 0.000
La 0.328 0.828 0.000
La 0.672 0.172 0.000
La 0.828 0.672 0.000
Mg 0.000 0.000 0.500
Mg 0.500 0.500 0.500
Ag 0.128 0.628 0.500
Ag 0.372 0.128 0.500
Ag 0.628 0.872 0.500
Ag 0.872 0.372 0.500

Calculated values
SG ... P4/mbm (127)
Energy above the most stable polymorph in this dataset ... 0.00 eV per formula unit
E_tot ... -3.69 eV per atom
Crystal system ... tetragonal
Formation enthalpy at 0 K ... -0.258 eV per atom



- What is the E_tot in the fourth record?
  -3.79 eV per atom



Please write out number 3 again, unchanged.
VASP calculation (PBE-GGA) on a relaxed structure of LaMg2Ag.

abc: 6.600 6.600 3.198
angles: 102.17 102.17 123.39
Atoms (fractional coordinates):
La 0.000 0.000 0.000
Mg 0.000 0.500 0.500
Mg 0.500 0.000 0.500
Ag 0.500 0.500 0.000

Calculated values
SG ... C2/m (12)
E_tot ... -2.71 eV per atom
Crystal system ... monoclinic
Formation enthalpy at 0 K ... 0.031 eV per atom



- Which of these has the highest formation enthalpy at 0 K?
  LaMg2Ag